! KSn6Au4 PBE optimized geometry; values from VASP
&SYSTEM
  ibrav = 0, nat = 22, ntyp = 3
/
ATOMIC_SPECIES
K 39.10 K.upf
Sn 118.71 Sn.upf
Au 196.97 Au.upf
ATOMIC_POSITIONS angstrom
K 1.110 1.284 3.077
K 7.767 8.989 21.538
Sn 5.549 3.863 6.393
Sn 3.329 2.361 9.230
Sn 5.549 3.842 12.068
Sn 7.768 6.410 12.546
Sn 5.548 4.930 15.384
Sn 7.768 6.431 18.221
Sn 1.109 3.842 6.393
Sn 3.329 5.343 9.230
Sn 1.109 3.863 12.068
Sn 3.328 6.431 12.546
Sn 5.548 7.911 15.384
Sn 3.328 6.410 18.221
Au 3.329 3.852 1.652
Au 3.329 3.852 4.611
Au 5.548 6.421 7.805
Au 5.548 6.421 10.764
Au 3.329 3.852 13.850
Au 3.329 3.852 16.809
Au 5.548 6.421 20.004
Au 5.548 6.421 22.963
CELL_PARAMETERS angstrom
0.000 5.136 12.307
4.439 0.000 12.307
4.439 5.136 0.000
! DFT formation energy, eV per atom: -0.247
! Space-group type: Fddd, No. 70
! Total DFT energy (no corrections), eV per atom: -3.72



! Tl2Hg2Br PBE optimized geometry; values from VASP
&SYSTEM
  ibrav = 0, nat = 10, ntyp = 3
/
ATOMIC_SPECIES
Tl 204.38 Tl.upf
Hg 200.59 Hg.upf
Br 79.90 Br.upf
ATOMIC_POSITIONS angstrom
Tl 1.604 2.763 0.000
Tl 2.763 7.130 0.000
Tl 5.970 1.604 0.000
Tl 7.130 5.970 0.000
Hg 1.098 5.465 2.092
Hg 3.268 1.098 2.092
Hg 5.465 7.635 2.092
Hg 7.635 3.268 2.092
Br 0.000 0.000 2.092
Br 4.367 4.367 2.092
CELL_PARAMETERS angstrom
8.733 0.000 0.000
0.000 8.733 0.000
0.000 0.000 4.184
! Polymorph energy (0 for the lowest one), meV/atom: 40.8
! Space-group type: P4/mbm, No. 127
! ΔE_f (raw), meV per atom: -223
! Total DFT energy (no corrections), eV per atom: -1.62



! BeNb2BiC PBE optimized geometry; values from VASP
&SYSTEM
  ibrav = 0, nat = 5, ntyp = 4
/
ATOMIC_SPECIES
Be 9.01 Be.upf
Nb 92.91 Nb.upf
Bi 208.98 Bi.upf
C 12.01 C.upf
ATOMIC_POSITIONS angstrom
Be 0.000 0.000 0.000
Nb 0.000 2.131 2.515
Nb 2.131 0.000 2.515
Bi 2.131 2.131 0.000
C 2.131 2.131 2.515
CELL_PARAMETERS angstrom
4.263 0.000 0.000
0.000 4.263 0.000
0.000 0.000 5.029
! DFT formation energy, eV per atom: 0.719
! Space-group type: P4/mmm, No. 123
! Total DFT energy (no corrections), eV per atom: -6.68